Record 1
A geometry-optimized Ca2SmThSb4 structure, computed with PBE.

Lattice parameters (Å, degrees): 7.8187 4.5304 7.8490 90.00 109.58 90.00
Fractional coordinates of all 8 atoms:
Ca  0.0000  0.0000  0.0000
Ca  0.0000  0.5000  0.5000
Sm  0.5000  0.0000  0.5000
Th  0.5000  0.5000  0.0000
Sb  0.2551  0.0000  0.7510
Sb  0.2561  0.5000  0.2526
Sb  0.7439  0.5000  0.7474
Sb  0.7449  0.0000  0.2490

ΔE_f (raw), eV/atom: -0.97
Final energy, eV per atom: -5.05
Size of the total moment, Bohr magnetons per cell: 0.000
N(E_F), states/eV/f.u.: 5.88

Record 2
A geometry-optimized CaSmTh2Sb4 structure, computed with PBE.

Lattice parameters (Å, degrees): 7.7716 4.5129 7.8231 90.00 109.55 90.00
Fractional coordinates of all 8 atoms:
Ca  0.0000  0.0000  0.0000
Sm  0.0000  0.5000  0.5000
Th  0.5000  0.0000  0.5000
Th  0.5000  0.5000  0.0000
Sb  0.2486  0.0000  0.7491
Sb  0.2510  0.5000  0.2511
Sb  0.7490  0.5000  0.7489
Sb  0.7514  0.0000  0.2509

ΔE_f (raw), eV/atom: -1.03
Final energy, eV per atom: -5.78
Size of the total moment, Bohr magnetons per cell: 0.000
N(E_F), states/eV/f.u.: 1.88